Record 1
# HgGeSO

A geometry-optimized HgGeSO structure (PBE-GGA, OQMD via LeMat-Bulk).

Calculated values
DFT total energy = -0.27105 Ry per atom
Energy above the most stable polymorph in this dataset = 0.5012 eV per atom
Symmetry = P4/nmm, No. 129

Cell lengths 5.060, 5.060, 7.280 Å; angles 90.00, 90.00, 90.00 degrees
Element x y z (fractional)
Ge1 0.750 0.750 0.168
S1 0.250 0.750 0.500
O1 0.750 0.750 0.937
Hg1 0.250 0.250 0.381
Ge2 0.250 0.250 0.832
S2 0.750 0.250 0.500
O2 0.250 0.250 0.063
Hg2 0.750 0.750 0.619

***

Record 2
# CuAsF6

A geometry-optimized CuAsF6 structure (PBE-GGA, OQMD via LeMat-Bulk).

Calculated values
DFT total energy = -0.30625 Ry per atom
Symmetry = Ia-3, No. 206

Cell lengths 7.582, 7.582, 7.582 Å; angles 109.47, 109.47, 109.47 degrees
Element x y z (fractional)
F1 0.227 0.443 0.418
Cu1 0.500 0.000 0.500
F2 0.190 0.918 0.475
F3 0.810 0.082 0.525
F4 0.310 0.784 0.727
F5 0.975 0.057 0.284
F6 0.784 0.727 0.310
F7 0.475 0.190 0.918
F8 0.443 0.418 0.227
F9 0.216 0.273 0.690
F10 0.690 0.216 0.273
F11 0.727 0.310 0.784
F12 0.525 0.810 0.082
As1 0.000 0.500 0.000
F13 0.057 0.284 0.975
F14 0.284 0.975 0.057
F15 0.082 0.525 0.810
F16 0.582 0.773 0.557
F17 0.418 0.227 0.443
F18 0.273 0.690 0.216
Cu2 0.000 0.000 0.000
F19 0.943 0.716 0.025
As2 0.000 0.000 0.500
F20 0.025 0.943 0.716
As3 0.500 0.500 0.500
F21 0.918 0.475 0.190
F22 0.716 0.025 0.943
Cu3 0.500 0.500 0.000
Cu4 0.000 0.500 0.500
F23 0.557 0.582 0.773
As4 0.500 0.000 0.000
F24 0.773 0.557 0.582

***

Record 3
# PmBiAu

A geometry-optimized PmBiAu structure (PBE-GGA, OQMD via LeMat-Bulk).

Calculated values
DFT total energy = -0.32769 Ry per atom
Energy above the most stable polymorph in this dataset = 0.2340 eV per atom
Spin magnetization = 0.00 μB/cell
Symmetry = F-43m, No. 216

Cell lengths 5.113, 5.113, 5.113 Å; angles 60.00, 60.00, 60.00 degrees
Element x y z (fractional)
Bi1 0.750 0.750 0.750
Pm1 0.000 0.000 0.000
Au1 0.250 0.250 0.250

***

Record 4
# Hg2PbS2Br2

A geometry-optimized Hg2PbS2Br2 structure (PBE-GGA, OQMD via LeMat-Bulk).

Calculated values
DFT total energy = -0.19478 Ry per atom
Symmetry = P2_1/c, No. 14

Cell lengths 9.954, 8.404, 11.861 Å; angles 90.00, 120.84, 90.00 degrees
Element x y z (fractional)
S1 0.800 0.023 0.964
Br1 0.140 0.635 0.784
Pb1 0.443 0.620 0.796
Br2 0.140 0.865 0.284
Br3 0.464 0.192 0.399
Hg1 0.021 0.760 0.475
Hg2 0.206 0.007 0.837
S2 0.802 0.959 0.369
S3 0.198 0.459 0.131
S4 0.800 0.477 0.464
S5 0.198 0.041 0.631
Pb2 0.443 0.880 0.296
S6 0.802 0.541 0.869
Br4 0.536 0.692 0.101
Pb3 0.557 0.120 0.704
Br5 0.860 0.365 0.216
Hg3 0.979 0.240 0.525
Hg4 0.206 0.493 0.337
Pb4 0.557 0.380 0.204
Br6 0.464 0.308 0.899
Hg5 0.794 0.507 0.663
Hg6 0.021 0.740 0.975
S7 0.200 0.977 0.036
Hg7 0.979 0.260 0.025
Br7 0.536 0.808 0.601
S8 0.200 0.523 0.536
Hg8 0.794 0.993 0.163
Br8 0.860 0.135 0.716

***

Record 5
# GaOsNO

A geometry-optimized GaOsNO structure (PBE-GGA, OQMD via LeMat-Bulk).

Calculated values
DFT total energy = -0.44701 Ry per atom
Energy above the most stable polymorph in this dataset = 1.2725 eV per atom
Spin magnetization = 0.03 μB/cell
Symmetry = P4/nmm, No. 129

Cell lengths 3.746, 3.746, 7.291 Å; angles 90.00, 90.00, 90.00 degrees
Element x y z (fractional)
N1 0.750 0.750 0.398
O1 0.250 0.750 0.000
Ga1 0.250 0.750 0.500
Os1 0.750 0.750 0.884
Os2 0.250 0.250 0.116
Ga2 0.750 0.250 0.500
N2 0.250 0.250 0.602
O2 0.750 0.250 0.000

***

Record 6
# Zr2ZnB

A geometry-optimized Zr2ZnB structure (PBE-GGA, OQMD via LeMat-Bulk).

Calculated values
DFT total energy = -0.47914 Ry per atom
Energy above the most stable polymorph in this dataset = 0.0000 eV per atom
Spin magnetization = 0.03 μB/cell
Symmetry = P6_3/mmc, No. 194

Cell lengths 3.438, 3.438, 14.190 Å; angles 90.00, 90.00, 120.00 degrees
Element x y z (fractional)
Zr1 0.333 0.667 0.093
Zr2 0.333 0.667 0.407
Zr3 0.667 0.333 0.593
Zn1 0.667 0.333 0.250
B1 0.000 0.000 0.500
Zr4 0.667 0.333 0.907
Zn2 0.333 0.667 0.750
B2 0.000 0.000 0.000

***

Record 7
# AgSbOs2

A geometry-optimized AgSbOs2 structure (PBE-GGA, OQMD via LeMat-Bulk).

Calculated values
DFT total energy = -0.47593 Ry per atom
Spin magnetization = 0.02 μB/cell
Symmetry = F-43m, No. 216

Cell lengths 4.578, 4.578, 4.578 Å; angles 60.00, 60.00, 60.00 degrees
Element x y z (fractional)
Sb1 0.500 0.500 0.500
Os1 0.000 0.000 0.000
Ag1 0.250 0.250 0.250
Os2 0.750 0.750 0.750

***

Record 8
# SmDyNO

A geometry-optimized SmDyNO structure (PBE-GGA, OQMD via LeMat-Bulk).

Calculated values
DFT total energy = -0.54253 Ry per atom
Energy above the most stable polymorph in this dataset = 0.4462 eV per atom
Spin magnetization = 1.30 μB/cell
Symmetry = P4/nmm, No. 129

Cell lengths 4.301, 4.301, 8.263 Å; angles 90.00, 90.00, 90.00 degrees
Element x y z (fractional)
Dy1 0.500 0.500 0.500
N1 0.000 0.500 0.610
N2 0.500 0.000 0.390
O1 0.500 0.500 0.000
Sm1 0.500 0.000 0.889
Dy2 0.000 0.000 0.500
O2 0.000 0.000 0.000
Sm2 0.000 0.500 0.111

***

What is the DFT total energy in the fifth record? -0.44701 Ry per atom